An optimized crystal structure of Ho2TmScO6. Source: Alexandria via LeMat-Bulk, functional PBE.

Output
The value obtained for the energy relative to the elements, uncorrected is -3562 meV/atom. The value obtained for the density of states at the Fermi level is 0.000 states/eV/cell. As for the total magnetic moment: 0.00 μB/f.u. The space-group type is R3, No. 146.

Cell: 5.660 5.660 5.922 Å, 61.45 61.45 60.00°
Element x y z (fractional)
Ho (0.527, 0.527, 0.418)
Ho (0.026, 0.026, 0.922)
Tm (0.809, 0.809, 0.573)
Sc (0.312, 0.312, 0.063)
O (0.604, 0.202, 0.253)
O (0.202, 0.941, 0.253)
O (0.941, 0.603, 0.253)
O (0.426, 0.696, 0.760)
O (0.695, 0.119, 0.760)
O (0.119, 0.426, 0.760)